*w*
A plane-wave DFT calculation with PBEsol was carried out for a relaxed structure of MgTa2Al.

Cell lengths 2.835, 2.835, 8.682 Å; angles 90.00, 90.00, 90.00 degrees
Sites, in units of the cell vectors:
Ta 0.000 0.000 0.773
Ta 0.000 0.000 0.227
Al 0.500 0.500 0.000
Mg 0.500 0.500 0.500

***

*x*
A plane-wave DFT calculation with PBEsol was carried out for a relaxed structure of MgTa2Al.

Cell lengths 2.804, 5.207, 5.207 Å; angles 114.66, 89.99, 89.99 degrees
Sites, in units of the cell vectors:
Ta 0.000 0.000 0.500
Ta 0.000 0.500 0.000
Mg 0.500 0.000 0.000
Al 0.500 0.500 0.500

***

Least stable of them? *x*.

***

*w*
A plane-wave DFT calculation with PBEsol was carried out for a relaxed structure of MgAlTc2.

Cell lengths 3.160, 4.280, 4.328 Å; angles 90.00, 90.00, 90.00 degrees
Sites, in units of the cell vectors:
Mg 0.000 0.500 0.500
Tc 0.500 0.000 0.500
Tc 0.000 0.000 0.000
Al 0.500 0.500 0.000

***

*x*
A plane-wave DFT calculation with PBEsol was carried out for a relaxed structure of MgAlTc2.

Cell lengths 2.627, 4.967, 4.967 Å; angles 114.31, 90.00, 90.00 degrees
Sites, in units of the cell vectors:
Mg 0.500 0.500 0.500
Al 0.500 0.000 0.000
Tc 0.000 0.000 0.500
Tc 0.000 0.500 0.000

***

Least stable of them? *x*.

***

*w*
A plane-wave DFT calculation with PBEsol was carried out for a relaxed structure of TmMg16Al12.

Cell lengths 9.058, 9.058, 9.058 Å; angles 109.47, 109.47, 109.47 degrees
Sites, in units of the cell vectors:
Mg 0.319 0.000 0.603
Mg 0.397 0.716 0.397
Mg 0.284 0.681 0.681
Mg 0.000 0.000 0.356
Mg 0.397 0.397 0.716
Mg 0.000 0.319 0.603
Mg 0.716 0.397 0.397
Mg 0.681 0.284 0.681
Mg 0.644 0.644 0.644
Mg 0.681 0.681 0.284
Mg 0.603 0.319 0.000
Mg 0.356 0.000 0.000
Mg 0.603 0.000 0.319
Mg 0.000 0.603 0.319
Mg 0.000 0.356 0.000
Mg 0.319 0.603 0.000
Al 0.186 0.186 0.819
Al 0.000 0.814 0.633
Al 0.814 0.633 0.000
Al 0.181 0.367 0.367
Al 0.367 0.367 0.181
Al 0.000 0.633 0.814
Al 0.814 0.000 0.633
Al 0.186 0.819 0.186
Al 0.633 0.814 0.000
Al 0.633 0.000 0.814
Al 0.367 0.181 0.367
Al 0.819 0.186 0.186
Tm 0.000 0.000 0.000

***

*x*
A plane-wave DFT calculation with PBEsol was carried out for a relaxed structure of TmMg16Al12.

Cell lengths 8.902, 9.125, 9.125 Å; angles 70.04, 71.02, 108.98 degrees
Sites, in units of the cell vectors:
Mg 0.607 0.330 0.000
Mg 0.718 0.402 0.598
Mg 0.688 0.687 0.706
Mg 0.394 0.706 0.606
Mg 0.000 0.313 0.394
Mg 0.000 0.606 0.687
Mg 0.316 0.598 0.000
Mg 0.607 0.000 0.670
Mg 0.278 0.670 0.330
Mg 0.998 0.343 0.000
Mg 0.998 0.000 0.657
Mg 0.394 0.394 0.294
Mg 0.688 0.294 0.313
Mg 0.000 0.000 0.000
Mg 0.316 0.000 0.402
Mg 0.655 0.657 0.343
Al 0.811 0.638 0.000
Al 0.625 0.816 0.000
Al 0.187 0.184 0.179
Al 0.187 0.821 0.816
Al 0.004 0.637 0.184
Al 0.367 0.363 0.821
Al 0.173 0.362 0.638
Al 0.811 0.000 0.362
Al 0.809 0.184 0.816
Al 0.625 0.000 0.184
Al 0.004 0.816 0.363
Al 0.367 0.179 0.637
Tm 0.372 0.000 0.000

***

Least stable of them? *x*.

***

*w*
A plane-wave DFT calculation with PBEsol was carried out for a relaxed structure of YMg16Al12.

Cell lengths 9.068, 9.068, 9.068 Å; angles 109.47, 109.47, 109.47 degrees
Sites, in units of the cell vectors:
Mg 0.717 0.397 0.397
Mg 0.681 0.681 0.283
Mg 0.000 0.603 0.319
Mg 0.319 0.000 0.603
Mg 0.319 0.603 0.000
Mg 0.603 0.000 0.319
Mg 0.642 0.642 0.642
Mg 0.603 0.319 0.000
Mg 0.358 0.000 0.000
Mg 0.681 0.283 0.681
Mg 0.397 0.397 0.717
Mg 0.000 0.319 0.603
Mg 0.000 0.358 0.000
Mg 0.397 0.717 0.397
Mg 0.000 0.000 0.358
Mg 0.283 0.681 0.681
Al 0.632 0.000 0.813
Al 0.181 0.368 0.368
Al 0.819 0.187 0.187
Al 0.632 0.813 0.000
Al 0.000 0.632 0.813
Al 0.000 0.813 0.632
Al 0.368 0.368 0.181
Al 0.187 0.819 0.187
Al 0.813 0.632 0.000
Al 0.187 0.187 0.819
Al 0.813 0.000 0.632
Al 0.368 0.181 0.368
Y 0.000 0.000 0.000

***

*x*
A plane-wave DFT calculation with PBEsol was carried out for a relaxed structure of YMg16Al12.

Cell lengths 8.910, 9.138, 9.138 Å; angles 70.03, 71.03, 108.97 degrees
Sites, in units of the cell vectors:
Al 0.187 0.820 0.816
Al 0.626 0.000 0.184
Al 0.187 0.184 0.180
Al 0.002 0.816 0.364
Al 0.174 0.362 0.638
Al 0.811 0.638 0.000
Al 0.002 0.636 0.184
Al 0.811 0.000 0.362
Al 0.366 0.180 0.636
Al 0.626 0.816 0.000
Al 0.810 0.184 0.816
Al 0.366 0.364 0.820
Mg 0.998 0.343 0.000
Mg 0.717 0.402 0.598
Mg 0.688 0.294 0.313
Mg 0.000 0.606 0.687
Mg 0.998 0.000 0.657
Mg 0.394 0.706 0.606
Mg 0.316 0.000 0.402
Mg 0.608 0.000 0.669
Mg 0.316 0.598 0.000
Mg 0.278 0.669 0.331
Mg 0.688 0.687 0.706
Mg 0.394 0.394 0.294
Mg 0.000 0.313 0.394
Mg 0.999 0.000 0.000
Mg 0.655 0.657 0.343
Mg 0.608 0.331 0.000
Y 0.373 0.000 0.000

***

Least stable of them? *x*.

***

*w*
A plane-wave DFT calculation with PBEsol was carried out for a relaxed structure of Mg16Al12Zn.

Cell lengths 8.995, 8.995, 8.995 Å; angles 109.17, 109.17, 109.17 degrees
Sites, in units of the cell vectors:
Mg 0.997 0.596 0.318
Mg 0.000 0.000 0.000
Mg 0.318 0.596 0.997
Mg 0.412 0.412 0.705
Mg 0.284 0.683 0.683
Mg 0.318 0.997 0.596
Mg 0.596 0.997 0.318
Mg 0.412 0.705 0.412
Mg 0.998 0.347 0.998
Mg 0.705 0.412 0.412
Mg 0.683 0.683 0.284
Mg 0.683 0.284 0.683
Mg 0.998 0.998 0.347
Mg 0.997 0.318 0.596
Mg 0.347 0.998 0.998
Mg 0.596 0.318 0.997
Al 0.633 0.816 0.001
Al 0.358 0.170 0.358
Al 0.816 0.001 0.633
Al 0.001 0.816 0.633
Al 0.358 0.358 0.170
Al 0.633 0.001 0.816
Al 0.816 0.633 0.001
Al 0.170 0.358 0.358
Al 0.001 0.633 0.816
Al 0.186 0.186 0.809
Al 0.809 0.186 0.186
Al 0.186 0.809 0.186
Zn 0.690 0.690 0.690

***

*x*
A plane-wave DFT calculation with PBEsol was carried out for a relaxed structure of Mg16Al12Zn.

Cell lengths 8.994, 8.994, 8.996 Å; angles 109.25, 109.25, 109.27 degrees
Sites, in units of the cell vectors:
Al 0.632 0.817 0.632
Al 0.177 0.360 0.991
Al 0.634 0.634 0.823
Al 0.999 0.185 0.365
Al 0.185 0.999 0.365
Al 0.360 0.177 0.991
Al 0.996 0.367 0.182
Al 0.808 0.180 0.812
Al 0.367 0.996 0.182
Al 0.180 0.808 0.812
Al 0.817 0.632 0.632
Al 0.813 0.813 0.188
Mg 0.363 0.363 0.338
Mg 0.650 0.999 0.003
Mg 0.002 0.002 0.003
Mg 0.998 0.400 0.681
Mg 0.406 0.675 0.006
Mg 0.996 0.996 0.652
Mg 0.675 0.406 0.006
Mg 0.001 0.683 0.400
Mg 0.707 0.320 0.313
Mg 0.286 0.597 0.599
Mg 0.597 0.286 0.599
Mg 0.320 0.707 0.313
Mg 0.683 0.001 0.400
Mg 0.400 0.998 0.681
Mg 0.311 0.311 0.709
Mg 0.999 0.650 0.003
Zn 0.637 0.637 0.319

***

Least stable of them? *w*.

***

*w*
A plane-wave DFT calculation with PBEsol was carried out for a relaxed structure of MgAlZn.

Cell lengths 3.070, 4.440, 4.440 Å; angles 120.00, 90.00, 90.00 degrees
Sites, in units of the cell vectors:
Mg 0.666 0.667 0.333
Al 0.167 0.000 0.000
Zn 0.166 0.333 0.667

***

*x*
A plane-wave DFT calculation with PBEsol was carried out for a relaxed structure of MgAlZn.

Cell lengths 4.327, 4.327, 4.327 Å; angles 60.00, 60.00, 60.00 degrees
Sites, in units of the cell vectors:
Al 0.000 0.000 0.000
Mg 0.500 0.500 0.500
Zn 0.250 0.250 0.250

***

*y*
A plane-wave DFT calculation with PBEsol was carried out for a relaxed structure of MgAlZn.

Cell lengths 2.915, 2.915, 6.391 Å; angles 103.18, 103.18, 90.00 degrees
Sites, in units of the cell vectors:
Zn 0.339 0.339 0.678
Mg 0.672 0.672 0.344
Al 0.989 0.989 0.978

***

Least stable of them? *x*.

***

*w*
A plane-wave DFT calculation with PBEsol was carried out for a relaxed structure of Mg16ZrAl12.

Cell lengths 8.746, 9.115, 9.115 Å; angles 69.72, 71.35, 108.65 degrees
Sites, in units of the cell vectors:
Al 0.809 0.636 0.000
Al 0.189 0.181 0.177
Al 0.008 0.819 0.358
Al 0.809 0.000 0.364
Al 0.173 0.364 0.636
Al 0.805 0.182 0.818
Al 0.189 0.823 0.819
Al 0.008 0.642 0.181
Al 0.624 0.818 0.000
Al 0.624 0.000 0.182
Al 0.366 0.177 0.642
Al 0.366 0.358 0.823
Mg 0.604 0.326 0.000
Mg 0.001 0.312 0.394
Mg 0.995 0.000 0.660
Mg 0.689 0.688 0.706
Mg 0.316 0.595 0.000
Mg 0.316 0.000 0.405
Mg 0.656 0.660 0.340
Mg 0.001 0.606 0.688
Mg 0.721 0.405 0.595
Mg 0.004 0.000 0.000
Mg 0.278 0.674 0.326
Mg 0.395 0.706 0.606
Mg 0.995 0.340 0.000
Mg 0.604 0.000 0.674
Mg 0.689 0.294 0.312
Mg 0.395 0.394 0.294
Zr 0.371 0.000 0.000

***

*x*
A plane-wave DFT calculation with PBEsol was carried out for a relaxed structure of Mg16ZrAl12.

Cell lengths 8.901, 9.091, 9.091 Å; angles 109.75, 109.03, 109.03 degrees
Sites, in units of the cell vectors:
Mg 0.395 0.680 0.999
Mg 0.603 0.599 0.284
Mg 0.603 0.284 0.599
Mg 0.996 0.685 0.396
Mg 0.395 0.999 0.680
Mg 0.009 0.663 0.004
Mg 0.316 0.711 0.316
Mg 0.686 0.402 0.999
Mg 0.002 0.000 0.000
Mg 0.686 0.999 0.402
Mg 0.278 0.598 0.598
Mg 0.316 0.316 0.711
Mg 0.353 0.346 0.346
Mg 0.645 0.995 0.995
Mg 0.996 0.396 0.685
Mg 0.009 0.004 0.663
Zr 0.722 0.316 0.316
Al 0.376 0.008 0.191
Al 0.182 0.819 0.819
Al 0.812 0.177 0.815
Al 0.376 0.191 0.008
Al 0.812 0.815 0.177
Al 0.634 0.820 0.636
Al 0.817 0.626 0.626
Al 0.994 0.365 0.186
Al 0.181 0.999 0.365
Al 0.994 0.186 0.365
Al 0.181 0.365 0.999
Al 0.634 0.636 0.820

***

Least stable of them? *x*.

***

*w*
A plane-wave DFT calculation with PBEsol was carried out for a relaxed structure of MnAlMo.

Cell lengths 2.941, 2.941, 5.019 Å; angles 107.04, 107.04, 90.00 degrees
Sites, in units of the cell vectors:
Al 0.009 0.009 0.018
Mo 0.318 0.318 0.636
Mn 0.673 0.673 0.345

***

*x*
A plane-wave DFT calculation with PBEsol was carried out for a relaxed structure of MnAlMo.

Cell lengths 2.650, 3.915, 4.577 Å; angles 115.32, 106.83, 90.00 degrees
Sites, in units of the cell vectors:
Mn 0.338 0.338 0.677
Al 0.996 0.996 0.993
Mo 0.665 0.665 0.331

***

*y*
A plane-wave DFT calculation with PBEsol was carried out for a relaxed structure of MnAlMo.

Cell lengths 2.666, 4.166, 4.166 Å; angles 120.00, 90.00, 90.00 degrees
Sites, in units of the cell vectors:
Al 0.963 0.000 0.000
Mo 0.394 0.333 0.667
Mn 0.644 0.667 0.333

***

Least stable of them? *x*.